! Nd2CuGe6 (GGA-PBEsol, optimized geometry); values from VASP
! Formation enthalpy at 0 K: -4.6 eV/f.u.
&SYSTEM
  ibrav = 0, nat = 9, ntyp = 3
/
ATOMIC_SPECIES
Ge 72.64 Ge.upf
Cu 63.55 Cu.upf
Nd 144.24 Nd.upf
CELL_PARAMETERS angstrom
4.039 0.000 0.000
0.000 4.108 0.000
-2.019 0.000 10.781
ATOMIC_POSITIONS crystal
Ge 0.215 0.500 0.430
Ge 0.453 0.500 0.905
Ge 0.601 0.000 0.203
Ge 0.715 0.000 0.431
Ge 0.883 0.500 0.765
Ge 0.101 0.500 0.202
Cu 0.774 0.500 0.548
Nd 0.331 0.000 0.661
Nd 0.996 0.000 0.993